# 1
A geometry-optimized Dy2CoO4 structure. Source: the Open Quantum Materials Database, functional PBE+U.

Calculated values
* VASP energy: -7.56 eV per atom
* magnetic moment: 23.99 μB per cell

Cell lengths 9.268, 9.268, 9.268 Å; angles 90.00, 90.00, 90.00 degrees
Space group Fd-3m (No. 227, origin choice 2)
Inequivalent atoms, fractional coordinates:
Dy1 0.000 0.000 0.000 [16 per cell]
Co1 0.125 0.125 0.625 [8 per cell]
O1 0.005 0.005 0.245 [32 per cell]


# 2
A geometry-optimized DyCoO3 structure. Source: the Open Quantum Materials Database, functional PBE+U.

Calculated values
* VASP energy: -6.97 eV per atom
* magnetic moment: 0.00 μB per cell

Cell lengths 5.3928, 5.3928, 14.2269 Å; angles 90.00, 90.00, 120.00 degrees
Space group R-3 (No. 148, hexagonal axes)
Inequivalent atoms, fractional coordinates:
Dy1 0.0000 0.0000 0.1343 [6 per cell]
Co1 0.0000 0.0000 0.3471 [6 per cell]
O1 0.0189 0.6310 0.9218 [18 per cell]


# 3
A geometry-optimized DyCoO3 structure. Source: the Open Quantum Materials Database, functional PBE+U.

Calculated values
* VASP energy: -6.89 eV per atom
* magnetic moment: 9.03 μB per cell

Cell lengths 5.449, 8.313, 5.510 Å; angles 90.00, 90.00, 90.00 degrees
Space group Pnma (No. 62)
Inequivalent atoms, fractional coordinates:
Dy1 0.000 0.000 0.000 [4 per cell]
Co1 0.010 0.250 0.480 [4 per cell]
O1 0.143 0.084 0.643 [8 per cell]
O2 0.149 0.250 0.146 [4 per cell]


# 4
A geometry-optimized DyCoO3 structure. Source: the Open Quantum Materials Database, functional PBE+U.

Calculated values
* VASP energy: -7.17 eV per atom
* magnetic moment: 0.01 μB per cell

Cell lengths 5.550, 7.368, 5.184 Å; angles 90.00, 90.00, 90.00 degrees
Space group Pnma (No. 62)
Inequivalent atoms, fractional coordinates:
Dy1 0.077 0.250 0.023 [4 per cell]
Co1 0.000 0.000 0.500 [4 per cell]
O1 0.027 0.750 0.395 [4 per cell]
O2 0.192 0.551 0.804 [8 per cell]


# 5
A geometry-optimized DyCo3Pb4O12 structure. Source: the Open Quantum Materials Database, functional PBE+U.

Calculated values
* VASP energy: -5.80 eV per atom
* magnetic moment: 17.80 μB per cell

Cell lengths 8.045, 8.045, 8.045 Å; angles 90.00, 90.00, 90.00 degrees
Space group Im-3 (No. 204)
Inequivalent atoms, fractional coordinates:
Dy1 0.000 0.000 0.000 [2 per cell]
Co1 0.000 0.000 0.500 [6 per cell]
Pb1 0.250 0.250 0.250 [8 per cell]
O1 0.000 0.157 0.304 [24 per cell]


# 6
A geometry-optimized Dy2CoPbO6 structure. Source: the Open Quantum Materials Database, functional PBE+U.

Calculated values
* VASP energy: -6.88 eV per atom
* magnetic moment: 9.14 μB per cell

Cell lengths 5.7717, 5.7717, 13.6156 Å; angles 90.00, 90.00, 120.00 degrees
Space group R-3 (No. 148, hexagonal axes)
Inequivalent atoms, fractional coordinates:
Dy1 0.0000 0.0000 0.2182 [6 per cell]
Co1 0.0000 0.0000 0.0000 [3 per cell]
Pb1 0.0000 0.0000 0.5000 [3 per cell]
O1 0.0261 0.7308 0.0877 [18 per cell]


# 7
A geometry-optimized DyCo3Pt4O12 structure. Source: the Open Quantum Materials Database, functional PBE+U.

Calculated values
* VASP energy: -6.10 eV per atom
* magnetic moment: 17.50 μB per cell

Cell lengths 7.592, 7.592, 7.592 Å; angles 90.00, 90.00, 90.00 degrees
Space group Im-3 (No. 204)
Inequivalent atoms, fractional coordinates:
Dy1 0.000 0.000 0.000 [2 per cell]
Co1 0.000 0.000 0.500 [6 per cell]
Pt1 0.250 0.250 0.250 [8 per cell]
O1 0.000 0.166 0.300 [24 per cell]


# 8
A geometry-optimized RbDyCoO3 structure. Source: the Open Quantum Materials Database, functional PBE+U.

Calculated values
* VASP energy: -6.35 eV per atom
* magnetic moment: 12.01 μB per cell

Cell lengths 3.503, 12.442, 9.080 Å; angles 90.00, 90.00, 90.00 degrees
Space group Cmcm (No. 63)
Inequivalent atoms, fractional coordinates:
Rb1 0.000 0.226 0.250 [4 per cell]
Dy1 0.000 0.500 0.000 [4 per cell]
Co1 0.000 0.049 0.750 [4 per cell]
O1 0.000 0.110 0.557 [8 per cell]
O2 0.000 0.463 0.750 [4 per cell]